[1]
## LaCeCd3 (GGA-PBE)

Data for LaCeCd3 after structural relaxation.

Space group = No. 63
Energy of formation = -0.26 eV per atom

Geometry as POSCAR:
```
LaCeCd3
1.0
-2.621 0.086 -2.175
-2.854 -2.611 3.336
-3.469 13.211 7.371
Ce La Cd
2 2 6
Cartesian
-7.541 9.427 6.791
-1.403 1.259 1.740
-4.183 3.707 5.187
-4.761 6.980 3.344
-4.361 9.461 5.629
-3.647 3.893 1.881
-4.584 1.225 2.903
-5.269 11.979 6.822
-3.676 -1.293 1.709
-5.297 6.794 6.651
```

[2]
## La2CeCd (GGA-PBE)

Data for La2CeCd after structural relaxation.

Space group = No. 123
Energy of formation = -0.08 eV per atom
E above lowest polymorph = 0.158 eV per formula unit

Geometry as POSCAR:
```
La2CeCd
1.0
3.623 0.000 0.000
0.000 5.791 0.000
0.000 0.000 5.791
Cd La Ce
1 2 1
Cartesian
1.811 0.000 0.000
0.000 2.895 0.000
0.000 0.000 2.895
1.811 2.895 2.895
```

[3]
## La5CeCd3 (GGA-PBE)

Data for La5CeCd3 after structural relaxation.

Space group = No. 193
Energy of formation = -0.14 eV per atom

Geometry as POSCAR:
```
La5CeCd3
1.0
-4.208 4.491 -3.563
-7.689 -5.283 2.422
2.877 7.218 5.701
La Ce Cd
10 2 6
Cartesian
-2.614 1.751 1.747
-4.167 -1.115 3.516
-6.798 0.715 5.382
-2.749 5.297 2.826
-5.653 1.653 -1.886
-2.222 5.712 -0.821
-0.645 3.051 4.608
-6.271 1.130 1.734
-6.244 -2.445 0.745
-6.406 4.676 2.814
0.000 0.000 0.000
-2.104 2.246 -1.781
-0.080 3.563 1.037
-4.237 2.404 4.487
-3.650 -0.662 -0.072
-8.247 -0.129 -1.068
-8.940 2.865 3.524
-4.782 4.023 0.074
```

[4]
## LaCeCd17 (GGA-PBE)

Data for LaCeCd17 after structural relaxation.

Space group = No. 160
Energy of formation = -0.15 eV per atom

Geometry as POSCAR:
```
LaCeCd17
1.0
0.496 4.579 6.158
6.073 -3.365 3.305
5.409 4.761 -2.685
Cd Ce La
17 1 1
Cartesian
6.932 4.487 1.058
5.598 2.332 -0.887
3.939 4.696 -0.039
5.865 -0.930 1.517
4.403 -0.984 4.148
10.801 5.389 6.112
5.123 1.606 5.544
4.482 4.396 5.467
1.236 0.617 0.700
1.966 4.623 3.511
11.647 3.712 3.744
7.263 0.435 4.044
2.164 2.205 5.293
7.385 1.690 1.473
4.817 5.347 2.786
8.946 7.560 5.126
9.267 3.624 8.027
3.973 1.982 2.248
7.980 3.981 4.516
```

[5]
## La14CeCd (GGA-PBE)

Data for La14CeCd after structural relaxation.

Space group = No. 38
Energy of formation = -0.02 eV per atom

Geometry as POSCAR:
```
La14CeCd
1.0
-0.787 -7.015 -1.897
3.689 1.261 -6.183
8.963 -2.324 4.874
Cd La Ce
1 14 1
Cartesian
2.012 -1.840 -4.577
4.257 -7.136 0.002
8.087 -2.179 1.123
0.169 -2.478 -1.493
6.490 -3.008 -2.137
4.644 -3.632 0.960
9.525 -5.031 -2.881
5.286 -0.349 -4.463
3.458 -0.979 -1.395
3.070 -4.459 -2.331
1.615 -5.343 -5.516
7.692 -5.657 0.182
4.896 -3.831 -5.399
9.921 -1.551 -1.942
6.100 -6.517 -3.092
-0.228 -5.982 -2.432
```

[6]
## La3CeCd2 (GGA-PBE)

Data for La3CeCd2 after structural relaxation.

Space group = No. 123
Energy of formation = -0.19 eV per atom

Geometry as POSCAR:
```
La3CeCd2
1.0
-3.343 -1.354 -0.845
0.985 -3.294 1.378
-4.522 3.668 12.005
La Cd Ce
3 2 1
Cartesian
-3.047 2.472 8.089
-1.475 1.197 3.916
0.000 0.000 0.000
-1.919 -1.723 2.231
-4.960 0.744 10.306
-3.439 -0.490 6.268
```

[7]
## LaCeCd2 (GGA-PBE)

Data for LaCeCd2 after structural relaxation.

Space group = No. 123
Energy of formation = -0.22 eV per atom
E above lowest polymorph = 0.000 eV per formula unit

Geometry as POSCAR:
```
LaCeCd2
1.0
-1.591 3.238 -1.409
-3.453 -1.750 -0.123
-1.494 2.434 7.280
Cd Ce La
2 1 1
Cartesian
-1.132 1.845 5.518
-0.362 0.589 1.762
-2.522 0.744 -0.766
-3.269 1.961 2.874
```

[8]
## LaCe2Cd (GGA-PBE)

Data for LaCe2Cd after structural relaxation.

Space group = No. 225
Energy of formation = 0.08 eV per atom
E above lowest polymorph = 0.370 eV per formula unit

Geometry as POSCAR:
```
LaCe2Cd
1.0
-2.557 -1.030 4.706
1.775 -4.005 3.248
2.420 1.202 4.738
Cd Ce La
1 2 1
Cartesian
0.819 -1.917 6.346
1.229 -2.875 9.519
0.410 -0.958 3.173
0.000 0.000 0.000
```

[9]
## La6CeCd (GGA-PBE)

Data for La6CeCd after structural relaxation.

Space group = No. 139
Energy of formation = -0.01 eV per atom

Geometry as POSCAR:
```
La6CeCd
1.0
-0.878 -2.662 5.214
-3.297 -4.132 -2.665
4.120 -7.629 0.158
La Cd Ce
6 1 1
Cartesian
-0.915 -9.017 1.963
2.345 -8.050 3.005
0.861 -5.407 0.744
-2.399 -6.375 -0.298
-1.190 -5.640 3.641
1.135 -8.785 -0.934
0.000 0.000 0.000
-2.087 -3.397 1.275
```

[10]
## La3CeCd4 (GGA-PBE)

Data for La3CeCd4 after structural relaxation.

Space group = No. 123
Energy of formation = -0.27 eV per atom

Geometry as POSCAR:
```
La3CeCd4
1.0
-3.809 0.728 0.459
0.165 -1.428 3.631
3.391 14.300 5.469
Cd Ce La
4 1 3
Cartesian
0.405 1.708 0.653
1.268 5.345 2.044
2.986 12.592 4.816
2.124 8.955 3.425
-1.822 -0.350 2.045
-0.126 6.800 4.780
-0.986 3.176 3.394
0.733 10.423 6.166
```

[11]
## LaCe2Cd (GGA-PBE)

Data for LaCe2Cd after structural relaxation.

Space group = No. 123
Energy of formation = 0.00 eV per atom
E above lowest polymorph = 0.061 eV per formula unit

Geometry as POSCAR:
```
LaCe2Cd
1.0
-3.427 -0.012 -0.418
0.315 -2.344 -2.516
-0.778 -7.169 6.581
Ce Cd La
2 1 1
Cartesian
-0.594 -5.476 5.027
-0.184 -1.693 1.554
-1.556 -1.178 -1.467
-1.945 -4.762 1.823
```

[12]
## LaCe2Cd (GGA-PBE)

Data for LaCe2Cd after structural relaxation.

Space group = No. 123
Energy of formation = -0.01 eV per atom
E above lowest polymorph = 0.000 eV per formula unit

Geometry as POSCAR:
```
LaCe2Cd
1.0
-3.224 0.939 -3.802
2.063 -3.476 -2.608
-3.088 -3.204 1.828
Ce La Cd
2 1 1
Cartesian
1.032 -1.738 -1.304
-1.544 -1.602 0.914
-2.124 -2.871 -2.291
-1.612 0.469 -1.901
```

[13]
## La2CeCd (GGA-PBE)

Data for La2CeCd after structural relaxation.

Space group = No. 160
Energy of formation = 0.00 eV per atom
E above lowest polymorph = 0.486 eV per formula unit

Geometry as POSCAR:
```
La2CeCd
1.0
3.614 0.000 0.000
1.807 3.129 0.000
1.807 1.043 11.253
La Ce Cd
2 1 1
Cartesian
1.807 1.043 8.526
1.807 1.043 2.717
3.614 2.086 5.641
5.420 3.129 11.249
```

[14]
## LaCe2Cd (GGA-PBE)

Data for LaCe2Cd after structural relaxation.

Space group = No. 166
Energy of formation = 0.12 eV per atom
E above lowest polymorph = 0.533 eV per formula unit

Geometry as POSCAR:
```
LaCe2Cd
1.0
3.225 0.000 0.000
1.613 2.793 0.000
1.613 0.931 12.184
Ce Cd La
2 1 1
Cartesian
1.613 0.931 8.938
4.838 2.793 3.247
3.225 1.862 6.092
0.000 0.000 0.000
```

[15]
## LaCeCd2 (GGA-PBE)

Data for LaCeCd2 after structural relaxation.

Space group = No. 225
Energy of formation = -0.21 eV per atom
E above lowest polymorph = 0.028 eV per formula unit

Geometry as POSCAR:
```
LaCeCd2
1.0
-1.249 -0.015 -5.355
2.783 -3.240 -3.463
-2.454 -4.382 -2.238
Ce La Cd
1 1 2
Cartesian
0.000 0.000 0.000
-0.460 -3.819 -5.528
-0.690 -5.728 -8.292
-0.230 -1.909 -2.764
```

[16]
## La4CeCd3 (GGA-PBE)

Data for La4CeCd3 after structural relaxation.

Space group = No. 123
Energy of formation = -0.22 eV per atom

Geometry as POSCAR:
```
La4CeCd3
1.0
3.704 0.000 0.000
0.000 3.704 0.000
0.000 0.000 17.725
La Ce Cd
4 1 3
Cartesian
0.000 0.000 11.049
0.000 0.000 15.407
0.000 0.000 2.319
0.000 0.000 6.676
1.852 1.852 0.000
1.852 1.852 13.233
1.852 1.852 8.863
1.852 1.852 4.492
```

[17]
## La6CeCd5 (GGA-PBE)

Data for La6CeCd5 after structural relaxation.

Space group = No. 71
Energy of formation = -0.22 eV per atom

Geometry as POSCAR:
```
La6CeCd5
1.0
-4.845 -2.142 -1.771
0.473 -5.632 5.517
-1.946 8.806 3.502
La Cd Ce
6 5 1
Cartesian
-1.280 0.233 3.231
-5.038 0.800 4.017
-5.270 3.559 1.314
-4.243 6.249 4.072
-2.075 -5.217 3.176
-1.048 -2.526 5.934
0.236 -2.816 2.759
-3.730 0.487 0.816
-2.588 0.546 6.432
-2.746 3.267 3.570
-3.572 -2.234 3.678
0.000 0.000 0.000
```

[18]
## La2CeCd (GGA-PBE)

Data for La2CeCd after structural relaxation.

Space group = No. 225
Energy of formation = 0.02 eV per atom
E above lowest polymorph = 0.567 eV per formula unit

Geometry as POSCAR:
```
La2CeCd
1.0
-3.966 0.567 -3.876
-2.959 -4.434 -1.630
-5.371 -0.443 1.423
Ce Cd La
1 1 2
Cartesian
0.000 0.000 0.000
-6.148 -2.155 -2.041
-9.222 -3.232 -3.062
-3.074 -1.077 -1.021
```

[19]
## LaCeCd2 (GGA-PBE)

Data for LaCeCd2 after structural relaxation.

Space group = No. 123
Energy of formation = -0.21 eV per atom
E above lowest polymorph = 0.046 eV per formula unit

Geometry as POSCAR:
```
LaCeCd2
1.0
-2.453 2.969 2.852
-3.228 -3.461 0.826
2.571 -1.499 3.771
La Cd Ce
1 2 1
Cartesian
-1.227 1.484 1.426
-1.614 -1.730 0.413
1.286 -0.749 1.886
-1.555 -0.995 3.725
```

[20]
## La2CeCd (GGA-PBE)

Data for La2CeCd after structural relaxation.

Space group = No. 123
Energy of formation = -0.12 eV per atom
E above lowest polymorph = 0.000 eV per formula unit

Geometry as POSCAR:
```
La2CeCd
1.0
-0.519 1.385 -3.337
-1.780 -3.032 -0.982
-7.958 3.767 2.800
La Ce Cd
2 1 1
Cartesian
-1.927 0.912 0.678
-6.031 2.854 2.122
-5.129 1.060 -0.759
-1.150 -0.823 -2.160
```

[21]
## LiLaCeCd (GGA-PBE)

Data for LiLaCeCd after structural relaxation.

Space group = No. 216
Energy of formation = 0.00 eV per atom

Geometry as POSCAR:
```
LiLaCeCd
1.0
5.457 0.000 0.000
2.729 4.726 0.000
2.729 1.575 4.456
La Ce Li Cd
1 1 1 1
Cartesian
5.457 3.151 2.228
0.000 0.000 0.000
8.186 4.726 3.342
2.729 1.575 1.114
```

[22]
## LaCeLuCd (GGA-PBE)

Data for LaCeLuCd after structural relaxation.

Space group = No. 216
Energy of formation = 0.01 eV per atom

Geometry as POSCAR:
```
LaCeLuCd
1.0
-2.654 0.014 -4.861
0.674 -4.209 -3.535
-4.152 -3.553 -0.899
Ce La Lu Cd
1 1 1 1
Cartesian
-1.533 -1.937 -2.324
-4.599 -5.811 -6.971
0.000 0.000 0.000
-3.066 -3.874 -4.647
```

[23]
## LaCeNdCd (GGA-PBE)

Data for LaCeNdCd after structural relaxation.

Space group = No. 216
Energy of formation = 0.03 eV per atom

Geometry as POSCAR:
```
LaCeNdCd
1.0
-1.988 -5.007 1.274
2.815 -3.304 3.436
-1.938 -0.996 5.089
Nd Cd La Ce
1 1 1 1
Cartesian
-0.555 -4.654 4.900
-0.833 -6.981 7.349
0.000 0.000 0.000
-0.278 -2.327 2.450
```

[24]
## LaCe2Cd2Pb2 (GGA-PBE)

Data for LaCe2Cd2Pb2 after structural relaxation.

Space group = No. 166
Energy of formation = -0.21 eV per atom

Geometry as POSCAR:
```
LaCe2Cd2Pb2
1.0
-0.068 -4.594 1.698
2.074 -1.048 4.311
-7.714 -0.106 6.468
Cd Pb Ce La
2 2 2 1
Cartesian
-1.079 -3.250 5.293
-4.629 -2.498 7.184
-4.806 -4.200 9.637
-0.902 -1.548 2.840
-1.729 -4.851 7.999
-3.979 -0.897 4.479
0.000 0.000 0.000
```

[25]
## LaCeCdPt (GGA-PBE)

Data for LaCeCdPt after structural relaxation.

Space group = No. 216
Energy of formation = -0.54 eV per atom

Geometry as POSCAR:
```
LaCeCdPt
1.0
5.285 0.000 0.000
2.643 4.577 0.000
2.643 1.526 4.315
Pt Ce La Cd
1 1 1 1
Cartesian
7.928 4.577 3.236
0.000 0.000 0.000
5.285 3.051 2.158
2.643 1.526 1.079
```

[26]
## LaCeCdSb (GGA-PBE)

Data for LaCeCdSb after structural relaxation.

Space group = No. 216
Raw formation energy = -0.558 eV per atom

Geometry as POSCAR:
```
LaCeCdSb
1.0
-1.840 -3.691 3.620
3.557 -2.996 2.912
0.590 0.904 5.380
Ce Cd Sb La
1 1 1 1
Cartesian
1.154 -2.891 5.956
1.730 -4.337 8.935
0.577 -1.446 2.978
0.000 0.000 0.000
```

Across the entries above, electronic total energy takes the values -2.9766 -4.2597 -3.8462 -1.5442 -4.7573 -3.9484 -3.3922 -4.3481 -4.5629 -3.3206 -4.4253 -4.4405 -4.1776 -4.3072 -3.3853 -3.7676 -3.5645 -4.1575 -3.3807 -4.2992 -3.4255 -4.0642 -4.1051 -3.9288 -4.9959 -4.5324 eV per atom, respectively.